Compound: BaP2Pt
Source: the Alexandria database
Functional: PBEsol
Structure: optimized geometry

Structure (POSCAR):
```
BaP2Pt
1.0
4.082 0.000 0.000
-2.041 3.518 0.000
0.000 0.000 6.889
Pt Ba P
1 1 2
direct
0.500 0.000 0.500
0.500 0.000 0.000
0.000 0.000 0.669
0.000 0.000 0.331
```

Computed properties:
formation energy: -346 meV/atom
DOS at the Fermi energy: 3.33 states/eV/cell

---

Compound: BaPPt2
Source: the Alexandria database
Functional: PBEsol
Structure: optimized geometry

Structure (POSCAR):
```
BaPPt2
1.0
-2.308 4.230 -1.979
-4.454 -1.331 2.350
5.419 2.523 5.927
Ba P Pt
2 2 4
direct
0.000 0.000 0.000
0.250 0.750 0.500
0.500 0.500 0.000
0.750 0.250 0.500
0.625 0.375 0.750
0.625 0.375 0.250
0.125 0.375 0.750
0.625 0.875 0.250
```

Computed properties:
formation energy: -849 meV/atom
DOS at the Fermi energy: 3.00 states/eV/cell

---

Compound: Ba4PPt
Source: the Alexandria database
Functional: PBEsol
Structure: optimized geometry

Structure (POSCAR):
```
Ba4PPt
1.0
6.587 0.000 0.000
3.293 5.704 0.000
3.293 1.901 5.378
P Pt Ba
1 1 4
direct
0.750 0.750 0.750
0.000 0.000 0.000
0.375 0.375 0.375
0.875 0.375 0.375
0.375 0.875 0.375
0.375 0.375 0.875
```

Computed properties:
formation energy: 509 meV/atom
DOS at the Fermi energy: 4.52 states/eV/cell

---

Compound: BaP2Pt
Source: the Alexandria database
Functional: PBEsol
Structure: optimized geometry

Structure (POSCAR):
```
BaP2Pt
1.0
3.108 0.000 0.000
0.000 5.081 0.000
0.000 0.000 5.081
Ba P Pt
1 2 1
direct
0.500 0.000 0.000
0.000 0.000 0.500
0.000 0.500 0.000
0.500 0.500 0.500
```

Computed properties:
formation energy: 212 meV/atom
DOS at the Fermi energy: 2.49 states/eV/cell

---

Compound: Ba2PPt
Source: the Alexandria database
Functional: PBEsol
Structure: optimized geometry

Structure (POSCAR):
```
Ba2PPt
1.0
4.420 0.000 0.000
0.000 4.866 0.000
0.000 -2.433 5.349
P Ba Pt
1 2 1
direct
0.000 0.584 0.167
0.500 0.975 0.951
0.000 0.275 0.549
0.500 0.666 0.333
```

Computed properties:
formation energy: -844 meV/atom
DOS at the Fermi energy: 3.26 states/eV/cell

---

Compound: BaP2Pt
Source: the Alexandria database
Functional: PBEsol
Structure: optimized geometry

Structure (POSCAR):
```
BaP2Pt
1.0
-2.192 -0.502 2.636
2.434 -1.806 1.680
2.183 5.630 2.889
Pt Ba P
1 1 2
direct
0.500 0.500 0.000
0.500 0.500 0.500
0.000 0.000 0.159
0.000 0.000 0.841
```

Computed properties:
formation energy: -263 meV/atom
DOS at the Fermi energy: 2.54 states/eV/cell

---

Compound: BaPPt
Source: the Alexandria database
Functional: PBEsol
Structure: optimized geometry

Structure (POSCAR):
```
BaPPt
1.0
6.517 0.000 0.000
0.000 6.517 0.000
0.000 0.000 6.517
Ba P Pt
4 4 4
direct
0.140 0.140 0.140
0.860 0.640 0.360
0.640 0.360 0.860
0.360 0.860 0.640
0.916 0.084 0.584
0.584 0.916 0.084
0.084 0.584 0.916
0.416 0.416 0.416
0.849 0.849 0.849
0.349 0.651 0.151
0.151 0.349 0.651
0.651 0.151 0.349
```

Computed properties:
formation energy: -1099 meV/atom
DOS at the Fermi energy: 5.23 states/eV/cell

---

Compound: BaP2Pt
Source: the Alexandria database
Functional: PBEsol
Structure: optimized geometry

Structure (POSCAR):
```
BaP2Pt
1.0
3.921 0.000 0.000
0.000 4.510 -0.018
0.000 -0.727 5.176
Ba P Pt
1 2 1
direct
0.500 0.500 0.000
0.000 0.262 0.398
0.000 0.738 0.602
0.500 0.000 0.500
```

Computed properties:
formation energy: -902 meV/atom
DOS at the Fermi energy: 0.41 states/eV/cell

---

Compound: RbBa3P
Source: the Alexandria database
Functional: PBEsol
Structure: optimized geometry

Structure (POSCAR):
```
RbBa3P
1.0
-5.101 -2.952 -2.552
3.346 -1.147 -5.361
2.008 -5.587 2.449
P Ba Rb
1 3 1
direct
0.000 0.000 0.000
0.000 0.000 0.500
0.000 0.500 0.000
0.500 0.000 0.000
0.500 0.500 0.500
```

Computed properties:
formation energy: -387 meV/atom
DOS at the Fermi energy: 4.42 states/eV/cell

---

Compound: RbBaP
Source: the Alexandria database
Functional: PBEsol
Structure: optimized geometry

Structure (POSCAR):
```
RbBaP
1.0
-4.471 -0.012 2.916
4.675 -1.530 7.163
0.873 9.113 1.377
P Rb Ba
4 4 4
direct
0.750 0.709 0.905
0.750 0.209 0.595
0.250 0.791 0.405
0.250 0.291 0.095
0.250 0.516 0.674
0.750 0.484 0.326
0.250 0.016 0.826
0.750 0.984 0.174
0.750 0.843 0.588
0.250 0.657 0.088
0.250 0.157 0.412
0.750 0.343 0.912
```

Computed properties:
formation energy: -669 meV/atom

---

Compound: RbBaPS4
Source: the Alexandria database
Functional: PBEsol
Structure: optimized geometry

Structure (POSCAR):
```
RbBaPS4
1.0
6.665 0.000 0.000
0.000 9.955 0.000
0.000 0.000 11.573
S Rb Ba P
16 4 4 4
direct
0.000 0.117 0.783
0.250 0.277 0.579
0.250 0.223 0.079
0.500 0.617 0.717
0.500 0.883 0.217
0.000 0.883 0.217
0.500 0.383 0.283
0.750 0.777 0.921
0.250 0.566 0.087
0.750 0.066 0.413
0.000 0.383 0.283
0.250 0.934 0.587
0.750 0.723 0.421
0.750 0.434 0.913
0.500 0.117 0.783
0.000 0.617 0.717
0.250 0.842 0.904
0.250 0.658 0.404
0.750 0.342 0.596
0.750 0.158 0.096
0.750 0.607 0.148
0.250 0.107 0.352
0.250 0.393 0.852
0.750 0.893 0.648
0.250 0.109 0.681
0.250 0.391 0.181
0.750 0.609 0.819
0.750 0.891 0.319
```

Computed properties:
E_tot: -5.001 eV/atom
DOS at the Fermi energy: 0.00 states/eV/cell

---

Compound: Ba2ReP
Source: the Alexandria database
Functional: PBEsol
Structure: optimized geometry

Structure (POSCAR):
```
Ba2ReP
1.0
3.932 0.000 0.000
0.000 5.253 0.000
-1.966 -2.626 5.399
P Ba Re
1 2 1
direct
0.568 0.568 0.136
0.780 0.280 0.560
0.980 0.980 0.960
0.172 0.672 0.344
```

Computed properties:
formation energy: 38 meV/atom
DOS at the Fermi energy: 4.70 states/eV/cell